A plane-wave DFT calculation with PBE was carried out for crystalline Pu2ScPaSb4 at its relaxed geometry.

- DOS at the Fermi energy: 30.71 states/eV/cell
- Density: 8.90 Mg/m³
- Total energy: -8.277 eV/atom
- Space group: P2/m
- Raw formation energy: -654.1 meV/atom

Cell lengths 4.3688, 7.5164, 7.5453 Å; angles 109.64, 90.00, 90.00 degrees
Last column: nearest neighbours and their distance in Å.
Sites, in units of the cell vectors:
Pu 0.5000 0.0000 0.5000  6 Sb 3.10-3.11
Pu 0.0000 0.5000 0.5000  6 Sb 3.15-3.16
Sc 0.0000 0.0000 0.0000  6 Sb 2.99-3.01
Pa 0.5000 0.5000 0.0000  6 Sb 3.05-3.06
Sb 0.5000 0.2403 0.2361  2 Sc 3.01, 1 Pa 3.05, 3 Pu 3.11-3.15
Sb 0.5000 0.7597 0.7639  2 Sc 3.01, 1 Pa 3.05, 3 Pu 3.11-3.15
Sb 0.0000 0.2458 0.7596  1 Sc 2.99, 2 Pa 3.06, 3 Pu 3.10-3.16
Sb 0.0000 0.7542 0.2404  1 Sc 2.99, 2 Pa 3.06, 3 Pu 3.10-3.16